Here is MgTlSe after structural relaxation from Alexandria. Energies are from PBE.

CIF file:
```
data_MgTlSe
_chemical_formula_sum 'Mg2 Tl2 Se2'
_space_group_name_H-M_alt 'I 4 m m'
_space_group_IT_number 107
_space_group_name_Hall 'I 4 -2'
_cell_length_a 3.6448
_cell_length_b 3.6448
_cell_length_c 12.6844
_cell_angle_alpha 90.00
_cell_angle_beta 90.00
_cell_angle_gamma 90.00
loop_
_atom_site_label
_atom_site_type_symbol
_atom_site_fract_x
_atom_site_fract_y
_atom_site_fract_z
Mg1 Mg 0.0000 0.0000 0.0000
Tl1 Tl 0.0000 0.0000 0.2949
Se1 Se 0.0000 0.0000 0.5472
```

Results
The value obtained for the density of states at the Fermi level is 0.9 states/eV/f.u. The volume is 84.3 Å³/f.u. Its excess energy over the best structure of this formula in the dataset is 99 meV/atom. The uncorrected formation energy is -0.531 eV per atom. As for the total energy: -3.0124 eV/atom.